Record 1
Here is an optimized crystal structure of Ac2Mg3Zn6 from Alexandria via LeMat-Bulk. Energies are from PBE.

Properties
Energy relative to the elements ... -0.18 eV/atom

abc: 7.8197 7.8197 4.3349
angles: 90.00 90.00 99.66
Positions (direct):
Ac1 0.2140 0.7860 0.0000
Ac2 0.7860 0.2140 0.0000
Mg1 0.2911 0.2911 0.0000
Mg2 0.5000 0.5000 0.5000
Mg3 0.7089 0.7089 0.0000
Zn1 0.1176 0.1176 0.5000
Zn2 0.1338 0.4411 0.5000
Zn3 0.4411 0.1338 0.5000
Zn4 0.5589 0.8662 0.5000
Zn5 0.8662 0.5589 0.5000
Zn6 0.8824 0.8824 0.5000


Record 2
Here is an optimized crystal structure of Ac6MgZn5 from Alexandria via LeMat-Bulk. Energies are from PBE.

Properties
Energy relative to the elements ... -0.21 eV/atom

abc: 9.6451 9.6451 9.6451
angles: 146.48 131.57 60.19
Positions (direct):
Ac1 0.0752 0.3299 0.7453
Ac2 0.2399 0.0000 0.2399
Ac3 0.4154 0.6701 0.7453
Ac4 0.5846 0.3299 0.2547
Ac5 0.7601 0.0000 0.7601
Ac6 0.9248 0.6701 0.2547
Mg1 0.5000 0.5000 0.0000
Zn1 0.0000 0.5000 0.5000
Zn2 0.1666 0.1666 0.0000
Zn3 0.3414 0.8414 0.5000
Zn4 0.6586 0.1586 0.5000
Zn5 0.8334 0.8334 0.0000


Record 3
Here is an optimized crystal structure of Ac2Mg5Zn4 from Alexandria via LeMat-Bulk. Energies are from PBE.

Properties
Energy relative to the elements ... -0.16 eV/atom

abc: 7.2817 7.2817 7.2817
angles: 130.08 103.37 97.18
Positions (direct):
Ac1 0.2112 0.2112 0.0000
Ac2 0.7888 0.7888 0.0000
Mg1 0.0000 0.5000 0.5000
Mg2 0.3024 0.2489 0.5514
Mg3 0.3024 0.7511 0.0535
Mg4 0.6976 0.2489 0.9465
Mg5 0.6976 0.7511 0.4486
Zn1 0.0998 0.7496 0.3502
Zn2 0.3993 0.7496 0.6498
Zn3 0.6007 0.2504 0.3502
Zn4 0.9002 0.2504 0.6498


Record 4
Here is an optimized crystal structure of AcMgZn2 from Alexandria via LeMat-Bulk. Energies are from PBE.

Properties
Energy relative to the elements ... -0.09 eV/atom

abc: 5.1613 5.1613 3.8548
angles: 90.00 90.00 90.00
Positions (direct):
Ac1 0.0000 0.0000 0.0000
Mg1 0.5000 0.5000 0.0000
Zn1 0.0000 0.5000 0.5000
Zn2 0.5000 0.0000 0.5000


Record 5
Here is an optimized crystal structure of AcMg3Zn2 from Alexandria via LeMat-Bulk. Energies are from PBE.

Properties
Energy relative to the elements ... -0.19 eV/atom

abc: 10.2993 10.2993 4.6782
angles: 90.00 90.00 120.00
Positions (direct):
Ac1 0.0000 0.0000 0.0000
Ac2 0.3333 0.6667 0.5000
Ac3 0.6667 0.3333 0.5000
Mg1 0.0000 0.2957 0.5000
Mg2 0.0000 0.5000 0.0000
Mg3 0.0000 0.7043 0.5000
Mg4 0.2957 0.0000 0.5000
Mg5 0.2957 0.2957 0.5000
Mg6 0.5000 0.0000 0.0000
Mg7 0.5000 0.5000 0.0000
Mg8 0.7043 0.0000 0.5000
Mg9 0.7043 0.7043 0.5000
Zn1 0.1890 0.3781 0.0000
Zn2 0.1890 0.8110 0.0000
Zn3 0.3781 0.1890 0.0000
Zn4 0.6219 0.8110 0.0000
Zn5 0.8110 0.1890 0.0000
Zn6 0.8110 0.6219 0.0000


Record 6
Here is an optimized crystal structure of Ac6MgZn2 from Alexandria via LeMat-Bulk. Energies are from PBE.

Properties
Energy relative to the elements ... -0.09 eV/atom

abc: 9.5343 9.5343 9.5343
angles: 112.39 110.80 105.31
Positions (direct):
Ac1 0.0486 0.2429 0.8057
Ac2 0.1804 0.2768 0.4571
Ac3 0.1804 0.7232 0.9036
Ac4 0.3244 0.0223 0.6979
Ac5 0.3244 0.6265 0.3021
Ac6 0.4371 0.2429 0.1943
Ac7 0.5629 0.7571 0.8057
Ac8 0.6756 0.3735 0.6979
Ac9 0.6756 0.9777 0.3021
Ac10 0.8196 0.2768 0.0964
Ac11 0.8196 0.7232 0.5429
Ac12 0.9514 0.7571 0.1943
Mg1 0.0000 0.0000 0.0000
Mg2 0.5000 0.5000 0.0000
Zn1 0.1142 0.6142 0.5000
Zn2 0.3428 0.0000 0.3428
Zn3 0.6572 0.0000 0.6572
Zn4 0.8858 0.3858 0.5000


Record 7
Here is an optimized crystal structure of AcMgZr from Alexandria via LeMat-Bulk. Energies are from PBE.

Properties
Energy relative to the elements ... 0.29 eV/atom

abc: 16.8854 3.5074 3.5074
angles: 60.01 90.00 90.00
Positions (direct):
Ac1 0.1848 0.0000 0.0000
Ac2 0.8152 0.0000 0.0000
Mg1 0.0000 0.6653 0.6653
Mg2 0.5000 0.0005 0.0005
Zr1 0.3505 0.6669 0.6669
Zr2 0.6495 0.6669 0.6669


Record 8
Here is an optimized crystal structure of AcMgZr from Alexandria via LeMat-Bulk. Energies are from PBE.

Properties
Energy relative to the elements ... 0.28 eV/atom

abc: 3.5436 3.5436 8.3060
angles: 90.00 90.00 120.00
Positions (direct):
Ac1 0.0000 0.0000 0.0000
Mg1 0.3333 0.6667 0.6287
Zr1 0.6667 0.3333 0.3346


Record 9
Here is an optimized crystal structure of AcMgZr from Alexandria via LeMat-Bulk. Energies are from PBE.

Properties
Energy relative to the elements ... 0.16 eV/atom

abc: 7.3839 7.3839 7.3839
angles: 151.93 151.93 40.11
Positions (direct):
Ac1 0.0000 0.0000 0.0000
Mg1 0.6903 0.6903 0.0000
Zr1 0.3230 0.3230 0.0000


Record 10
Here is an optimized crystal structure of AcMn4 from Alexandria via LeMat-Bulk. Energies are from PBE.

Properties
Energy relative to the elements ... 2.11 eV/atom

abc: 5.2106 5.2106 5.2106
angles: 90.00 90.00 90.00
Positions (direct):
Ac1 0.0000 0.0000 0.0000
Mn1 0.0000 0.0000 0.5000
Mn2 0.0000 0.5000 0.0000
Mn3 0.5000 0.0000 0.0000
Mn4 0.5000 0.5000 0.5000


| no. | electronic total energy (eV/atom) |
| --- | --- |
| 1 | -2.055 |
| 2 | -2.930 |
| 3 | -2.092 |
| 4 | -2.152 |
| 5 | -2.096 |
| 6 | -3.287 |
| 7 | -4.458 |
| 8 | -4.467 |
| 9 | -4.590 |
| 10 | -6.048 |